(1)
CrIrCl2 PBE relaxed; space-group type = No. 160; electronic total energy = -5.5897 eV per atom; ΔE_f (raw) = -0.2 eV per formula unit; distance to the lowest polymorph of the same formula = 136 meV/atom
1.0
1.572 0.908 8.945
-1.572 0.908 8.945
0.000 -1.816 8.945
Cr Ir Cl
1 1 2
direct
0.000 0.000 0.000
0.731 0.731 0.731
0.273 0.273 0.273
0.472 0.472 0.472

***

(2)
InIrN PBE relaxed; space-group type = No. 12; electronic total energy = -6.3202 eV per atom; ΔE_f (raw) = 1.0 eV per formula unit
1.0
5.021 -1.971 0.000
5.021 1.971 0.000
-0.471 0.000 5.064
In Ir N
2 2 2
direct
0.195 0.195 0.214
0.805 0.805 0.786
0.090 0.090 0.697
0.910 0.910 0.303
0.459 0.459 0.395
0.541 0.541 0.605

***

(3)
SmGaAg PBE relaxed; DFT formation energy = -26.5 kJ per mole of atoms; space-group type = No. 107; electronic total energy = -3.8071 eV per atom
1.0
-1.706 1.706 5.636
1.706 -1.706 5.636
1.706 1.706 -5.636
Sm Ga Ag
1 1 1
direct
0.000 0.000 0.000
0.320 0.320 0.000
0.692 0.692 0.000

***

(4)
HgHI PBE relaxed; space-group type = No. 1; electronic total energy = -1.8993 eV per atom; distance to the lowest polymorph of the same formula = 0 meV/atom
1.0
4.418 0.000 0.000
2.206 3.828 0.000
0.087 0.071 11.397
Hg H I
2 2 2
direct
0.000 0.000 0.000
0.006 0.009 0.765
0.017 0.052 0.363
0.959 0.952 0.402
0.667 0.666 0.143
0.673 0.676 0.622